# RbNa2MoF8

A geometry-optimized RbNa2MoF8 structure (PBE+U, the Alexandria database).

a = 4.915 Å, b = 5.725 Å, c = 8.251 Å
α = 87.76°, β = 88.17°, γ = 79.40°
Atoms (fractional coordinates):
Rb 0.000 0.000 0.000
Na 0.486 0.490 0.193
Na 0.514 0.510 0.807
Mo 0.000 0.000 0.500
F 0.196 0.803 0.673
F 0.198 0.794 0.335
F 0.264 0.202 0.486
F 0.365 0.292 0.998
F 0.635 0.708 0.002
F 0.736 0.798 0.514
F 0.802 0.206 0.665
F 0.804 0.197 0.327

Computed properties:
The value obtained for the calculated total energy is -4.703 eV/atom. Its volume is 228 Å³/f.u. As for the space group: No. 2.